1.
Here is a relaxed Mg3ZnN crystal from OQMD via LeMat-Bulk. Energies are from GGA-PBE.

Properties
Its crystal system is cubic. Its symmetry is Pm-3m. The total DFT energy (no corrections) is -3.176 eV/atom.

abc: 4.260 4.260 4.260
angles: 90.00 90.00 90.00
Element x y z (fractional)
1 Mg 0.500 0.000 0.000
2 Mg 0.000 0.500 0.000
3 Mg 0.000 0.000 0.500
4 N 0.000 0.000 0.000
5 Zn 0.500 0.500 0.500

=====

2.
Here is a relaxed Mg2ZnN2 crystal from OQMD via LeMat-Bulk. Energies are from GGA-PBE.

Properties
Its crystal system is tetragonal. Its symmetry is I4/mmm. The total DFT energy (no corrections) is -4.675 eV/atom.

abc: 6.495 6.495 6.495
angles: 152.17 152.17 39.76
Element x y z (fractional)
1 Mg 0.328 0.328 0.000
2 Mg 0.672 0.672 0.000
3 N 0.151 0.151 0.000
4 N 0.849 0.849 0.000
5 Zn 0.000 0.000 0.000

=====

3.
Here is a relaxed MgZr4N5 crystal from OQMD via LeMat-Bulk. Energies are from GGA-PBE.

Properties
Its crystal system is tetragonal. Its total moment is 0.003 μB/f.u. Its symmetry is I4/m. The total DFT energy (no corrections) is -9.308 eV/atom.

abc: 5.590 5.590 5.590
angles: 99.49 99.49 132.07
Element x y z (fractional)
1 Mg 0.000 0.000 0.000
2 N 0.500 0.500 0.000
3 N 0.297 0.904 0.201
4 N 0.096 0.297 0.392
5 N 0.904 0.703 0.608
6 N 0.703 0.096 0.799
7 Zr 0.798 0.396 0.194
8 Zr 0.604 0.798 0.402
9 Zr 0.396 0.202 0.598
10 Zr 0.202 0.604 0.806

=====

4.
Here is a relaxed MgZrN2 crystal from OQMD via LeMat-Bulk. Energies are from GGA-PBE.

Properties
Its crystal system is tetragonal. Its total moment is 0.000 μB/f.u. Its symmetry is I4_1/amd. The total DFT energy (no corrections) is -8.027 eV/atom.

abc: 5.586 5.586 5.586
angles: 132.83 132.83 68.93
Element x y z (fractional)
1 Mg 0.500 0.500 0.000
2 Mg 0.250 0.750 0.500
3 N 0.241 0.241 0.000
4 N 0.759 0.759 0.000
5 N 0.509 0.009 0.500
6 N 0.991 0.491 0.500
7 Zr 0.000 0.000 0.000
8 Zr 0.750 0.250 0.500

=====

5.
Here is a relaxed NaMgNbNi crystal from OQMD via LeMat-Bulk. Energies are from GGA-PBE.

Properties
Its crystal system is cubic. Its total moment is 0.001 μB/f.u. Its symmetry is F-43m. The value obtained for the energy above the most stable polymorph in this dataset is 0.0 meV per atom.

abc: 4.522 4.522 4.522
angles: 60.00 60.00 60.00
Element x y z (fractional)
1 Mg 0.750 0.750 0.750
2 Na 0.000 0.000 0.000
3 Nb 0.250 0.250 0.250
4 Ni 0.500 0.500 0.500

=====

6.
Here is a relaxed NaMgNbNi crystal from OQMD via LeMat-Bulk. Energies are from GGA-PBE.

Properties
Its crystal system is cubic. Its total moment is 0.002 μB/f.u. Its symmetry is F-43m. The value obtained for the energy above the most stable polymorph in this dataset is 98.6 meV per atom.

abc: 4.599 4.599 4.599
angles: 60.00 60.00 60.00
Element x y z (fractional)
1 Mg 0.000 0.000 0.000
2 Na 0.750 0.750 0.750
3 Nb 0.250 0.250 0.250
4 Ni 0.500 0.500 0.500

=====

7.
Here is a relaxed NaMgNbPd crystal from OQMD via LeMat-Bulk. Energies are from GGA-PBE.

Properties
Its crystal system is cubic. Its total moment is 0.003 μB/f.u. Its symmetry is F-43m. The value obtained for the energy above the most stable polymorph in this dataset is 92.9 meV per atom.

abc: 4.683 4.683 4.683
angles: 60.00 60.00 60.00
Element x y z (fractional)
1 Mg 0.750 0.750 0.750
2 Na 0.000 0.000 0.000
3 Nb 0.500 0.500 0.500
4 Pd 0.250 0.250 0.250

=====

8.
Here is a relaxed NaMgNbPd crystal from OQMD via LeMat-Bulk. Energies are from GGA-PBE.

Properties
Its crystal system is cubic. Its total moment is 0.001 μB/f.u. Its symmetry is F-43m. The value obtained for the energy above the most stable polymorph in this dataset is 0.0 meV per atom.

abc: 4.635 4.635 4.635
angles: 60.00 60.00 60.00
Element x y z (fractional)
1 Mg 0.750 0.750 0.750
2 Na 0.500 0.500 0.500
3 Nb 0.250 0.250 0.250
4 Pd 0.000 0.000 0.000

=====

9.
Here is a relaxed NaMgNbPt crystal from OQMD via LeMat-Bulk. Energies are from GGA-PBE.

Properties
Its crystal system is cubic. Its total moment is 0.007 μB/f.u. Its symmetry is F-43m. The value obtained for the energy above the most stable polymorph in this dataset is 149.5 meV per atom.

abc: 4.645 4.645 4.645
angles: 60.00 60.00 60.00
Element x y z (fractional)
1 Mg 0.750 0.750 0.750
2 Na 0.500 0.500 0.500
3 Nb 0.000 0.000 0.000
4 Pt 0.250 0.250 0.250

=====

10.
Here is a relaxed NaMgNbPt crystal from OQMD via LeMat-Bulk. Energies are from GGA-PBE.

Properties
Its crystal system is cubic. Its total moment is 0.006 μB/f.u. Its symmetry is F-43m. The value obtained for the energy above the most stable polymorph in this dataset is 0.0 meV per atom.

abc: 4.602 4.602 4.602
angles: 60.00 60.00 60.00
Element x y z (fractional)
1 Mg 0.500 0.500 0.500
2 Na 0.750 0.750 0.750
3 Nb 0.000 0.000 0.000
4 Pt 0.250 0.250 0.250